Record 1
# HgPtOF2 (GGA-PBE, optimized geometry)
data_HgPtOF2
_space_group_name_H-M_alt 'P 4/m m m'
_space_group_IT_number 123
_space_group_name_Hall '-P 4 2'
_cell_length_a 4.421
_cell_length_b 4.421
_cell_length_c 4.274
_cell_angle_alpha 90.00
_cell_angle_beta 90.00
_cell_angle_gamma 90.00
loop_
_atom_site_label
_atom_site_type_symbol
_atom_site_fract_x
_atom_site_fract_y
_atom_site_fract_z
Hg1 Hg 0.000 0.000 0.000
Pt1 Pt 0.500 0.500 0.500
O1 O 0.000 0.000 0.500
F1 F 0.000 0.500 0.000
# * offset from the most stable computed form: 17.68 kcal/mol of atoms
# * calculated volume: 83.54 Å³/cell
# * Fermi-level density of states: 1.036 states/eV per atom
# * uncorrected formation energy: 0.23 eV/atom

***

Record 2
# CePm2Pr3As6 (GGA-PBE, optimized geometry)
data_CePm2Pr3As6
_space_group_name_H-M_alt 'C 1 2/m 1'
_space_group_IT_number 12
_cell_length_a 7.390
_cell_length_b 12.798
_cell_length_c 7.396
_cell_angle_alpha 90.00
_cell_angle_beta 109.45
_cell_angle_gamma 90.00
loop_
_space_group_symop_operation_xyz
'x,y,z'
'-x,-y,-z'
'-x,y,-z'
'x,-y,z'
'x+1/2,y+1/2,z'
'-x+1/2,-y+1/2,-z'
'-x+1/2,y+1/2,-z'
'x+1/2,-y+1/2,z'
loop_
_atom_site_label
_atom_site_type_symbol
_atom_site_fract_x
_atom_site_fract_y
_atom_site_fract_z
Ce1 Ce 0.000 0.000 0.000
Pm1 Pm 0.000 0.334 0.000
Pr1 Pr 0.000 0.167 0.500
Pr2 Pr 0.000 0.500 0.500
As1 As 0.246 0.165 0.244
As2 As 0.248 0.000 0.756
# * ΔH_f (0 K): -1505 meV per atom
# * calculated volume: 659.62 Å³/cell
# * Fermi-level density of states: 0.482 states/eV per atom